# BeBPIrAu

A relaxed structure of BeBPIrAu (GGA-PBE, Alexandria).

Geometry as POSCAR:
```
BeBPIrAu
1.0
7.489 -1.635 0.000
7.489 1.635 0.000
-0.531 0.000 2.787
Be B P Ir Au
1 1 1 1 1
Direct
0.000 0.000 0.000
0.663 0.663 0.160
0.233 0.233 0.230
0.552 0.552 0.552
0.372 0.372 0.867
```

Calculated values
For the formation energy, the calculation gives -12 kJ per mole of atoms. As for the total energy: -28.56 eV/cell. The crystal system is monoclinic. The relative energy among the computed polymorphs is 0 meV/atom.